{
  "formula": "La4PSeCl2",
  "functional": "PBE-GGA",
  "state": "optimized geometry",
  "cell": [[7.248, 0.000, 0.000], [0.000, 4.250, 0.000], [-2.493, 0.000, 6.985]],
  "species": ["La", "La", "La", "La", "P", "Se", "Cl", "Cl"],
  "fractional_positions": [[0.232, 0.000, 0.232], [0.240, 0.500, 0.760], [0.760, 0.500, 0.240], [0.768, 0.000, 0.768], [0.000, 0.500, 0.000], [0.000, 0.000, 0.500], [0.500, 0.000, 0.000], [0.500, 0.500, 0.500]],
  "dos_at_fermi_per_ev_atom": 0.581,
  "volume_a3_per_fu": 215.2,
  "final_energy_ev_per_cell": -46.3,
  "space_group": "P2/m",
  "raw_formation_energy_ev_per_fu": -14.0
}